[1]
{
  "formula": "LiLaSbI2",
  "functional": "PBE",
  "state": "relaxed",
  "de_polymorph_mev_per_atom": 0,
  "magnetic_moment_mub_per_cell": 0.158,
  "crystal_system": "tetragonal",
  "dft_energy_ev_per_cell": -17.13,
  "volume_a3_per_atom": 31.11,
  "lattice_angstrom": [[-3.304, -3.080, -2.603], [1.531, -4.072, 2.873], [-4.095, 1.160, 3.825]],
  "species": ["Li", "I", "La", "Sb", "I"],
  "fractional_positions": [[0.000, 0.000, 0.000], [0.000, 0.500, 0.000], [0.500, 0.500, 0.500], [0.000, 0.000, 0.500], [0.500, 0.000, 0.000]]
}

=====

[2]
{
  "formula": "LaOs2Ru",
  "functional": "PBE",
  "state": "relaxed",
  "de_polymorph_mev_per_atom": 279,
  "magnetic_moment_mub_per_cell": 0.000,
  "crystal_system": "orthorhombic",
  "dft_energy_ev_per_cell": -34.25,
  "volume_a3_per_atom": 17.36,
  "delta_e_f_ev_per_atom": 0.602,
  "lattice_angstrom": [[-3.307, -1.540, 3.561], [-1.231, -1.816, -4.602], [1.610, -2.328, 0.488]],
  "species": ["Os", "Ru", "La", "Os"],
  "fractional_positions": [[0.500, 0.500, 0.000], [0.500, 0.000, 0.500], [0.000, 0.500, 0.500], [0.000, 0.000, 0.000]]
}

=====

[3]
{
  "formula": "NaY2Ni",
  "functional": "PBE",
  "state": "relaxed",
  "de_polymorph_mev_per_atom": 0,
  "magnetic_moment_mub_per_cell": 0.000,
  "crystal_system": "tetragonal",
  "dft_energy_ev_per_cell": -20.42,
  "volume_a3_per_atom": 27.36,
  "delta_e_f_ev_per_atom": -0.099,
  "lattice_angstrom": [[3.388, 0.000, 0.000], [0.000, 3.388, 0.000], [0.000, 0.000, 9.537]],
  "species": ["Y", "Ni", "Y", "Na"],
  "fractional_positions": [[0.000, 0.000, 0.170], [0.500, 0.500, 0.000], [0.000, 0.000, 0.830], [0.500, 0.500, 0.500]]
}